No. 1
SrLa2Fe after structural relaxation. Source: the Alexandria database, functional PBE-GGA.

abc: 5.212 5.212 4.649
angles: 90.00 90.00 89.94
Atoms (fractional coordinates):
La1 0.500 0.500 0.000
La2 0.000 0.000 0.000
Fe1 0.000 0.500 0.500
Sr1 0.500 0.000 0.500

DOS(E_F)   7.17 states/eV/f.u.
ΔH_f (0 K)   0.5297 eV/atom
M_tot   2.1 μB per formula unit

---

No. 2
SrLa2Fe after structural relaxation. Source: the Alexandria database, functional PBE-GGA.

abc: 6.573 6.573 6.807
angles: 59.99 59.99 33.54
Atoms (fractional coordinates):
La1 0.907 0.907 0.129
La2 0.736 0.736 0.850
Sr1 0.560 0.560 0.495
Fe1 0.297 0.297 0.026

DOS(E_F)   3.28 states/eV/f.u.
ΔH_f (0 K)   0.2130 eV/atom
M_tot   0.0 μB per formula unit

---

No. 3
Sr2LaFe after structural relaxation. Source: the Alexandria database, functional PBE-GGA.

abc: 6.315 6.315 3.792
angles: 90.00 90.00 110.38
Atoms (fractional coordinates):
Sr1 0.500 0.500 0.000
Sr2 0.000 0.000 0.000
Fe1 0.500 0.000 0.500
La1 0.000 0.500 0.500

DOS(E_F)   7.35 states/eV/f.u.
ΔH_f (0 K)   0.6835 eV/atom
M_tot   2.7 μB per formula unit